# 1
## ZnAu2 (SCAN)

Data for a PBEsol-optimized structure of ZnAu2.

Calculated values
Space group: No. 58
Calculated density in g/cm3: 15.84

a = 2.904 Å, b = 4.319 Å, c = 7.680 Å
α = 90.00°, β = 90.00°, γ = 90.00°
Atoms (fractional coordinates):
Zn  0.500  0.500  0.500
Zn  0.000  0.000  0.000
Au  0.271  0.500  0.834
Au  0.729  0.500  0.166
Au  0.229  0.000  0.334
Au  0.771  0.000  0.666

---

# 2
## ZnAu (SCAN)

Data for a PBEsol-optimized structure of ZnAu.

Calculated values
Space group: No. 57
Calculated density in g/cm3: 14.03

a = 5.418 Å, b = 7.714 Å, c = 8.913 Å
α = 90.00°, β = 90.00°, γ = 90.00°
Atoms (fractional coordinates):
Au  0.250  0.378  0.843
Au  0.000  0.750  0.877
Au  0.750  0.622  0.157
Au  0.750  0.122  0.843
Au  0.250  0.449  0.384
Au  0.500  0.750  0.877
Au  0.750  0.051  0.384
Au  0.500  0.250  0.123
Au  0.000  0.250  0.123
Au  0.750  0.551  0.616
Au  0.250  0.878  0.157
Au  0.250  0.949  0.616
Zn  0.250  0.111  0.362
Zn  0.250  0.054  0.903
Zn  0.500  0.750  0.393
Zn  0.250  0.611  0.638
Zn  0.750  0.446  0.903
Zn  0.750  0.889  0.638
Zn  0.000  0.250  0.607
Zn  0.750  0.389  0.362
Zn  0.500  0.250  0.607
Zn  0.000  0.750  0.393
Zn  0.750  0.946  0.097
Zn  0.250  0.554  0.097

---

# 3
## ZnAu2 (SCAN)

Data for a PBEsol-optimized structure of ZnAu2.

Calculated values
Space group: No. 141
Calculated density in g/cm3: 15.57

a = 2.822 Å, b = 2.822 Å, c = 12.461 Å
α = 96.50°, β = 96.50°, γ = 90.00°
Atoms (fractional coordinates):
Au  0.825  0.325  0.649
Au  0.575  0.575  0.149
Au  0.675  0.175  0.351
Au  0.425  0.425  0.851
Zn  0.250  0.750  0.500
Zn  0.000  0.000  0.000

---

# 4
## ZnAu (SCAN)

Data for a PBEsol-optimized structure of ZnAu.

Calculated values
Space group: No. 221
Calculated density in g/cm3: 14.28

a = 3.125 Å, b = 3.125 Å, c = 3.125 Å
α = 90.00°, β = 90.00°, γ = 90.00°
Atoms (fractional coordinates):
Zn  0.500  0.500  0.500
Au  0.000  0.000  0.000

---

# 5
## Zn3Au2 (SCAN)

Data for a PBEsol-optimized structure of Zn3Au2.

Calculated values
Excess energy over the best structure of this formula in the dataset in meV/atom: 164
Space group: No. 166
Calculated density in g/cm3: 12.75

a = 2.880 Å, b = 2.880 Å, c = 10.827 Å
α = 82.36°, β = 82.36°, γ = 60.00°
Atoms (fractional coordinates):
Zn  0.801  0.801  0.596
Zn  0.199  0.199  0.404
Zn  0.000  0.000  0.000
Au  0.401  0.401  0.798
Au  0.599  0.599  0.202

---

# 6
## Zn3Au5 (SCAN)

Data for a PBEsol-optimized structure of Zn3Au5.

Calculated values
Excess energy over the best structure of this formula in the dataset in meV/atom: 62
Space group: No. 140
Calculated density in g/cm3: 15.36

a = 5.186 Å, b = 7.480 Å, c = 7.480 Å
α = 83.10°, β = 69.72°, γ = 69.72°
Atoms (fractional coordinates):
Au  0.278  0.145  0.299
Au  0.778  0.299  0.145
Au  0.923  0.855  0.299
Au  0.577  0.701  0.145
Au  0.222  0.701  0.855
Au  0.750  0.500  0.500
Au  0.423  0.299  0.855
Au  0.722  0.855  0.701
Au  0.250  0.500  0.500
Au  0.077  0.145  0.701
Zn  0.750  0.000  0.000
Zn  0.166  0.500  0.168
Zn  0.334  0.832  0.500
Zn  0.834  0.500  0.832
Zn  0.250  0.000  0.000
Zn  0.666  0.168  0.500

---

# 7
## ZnAu (SCAN)

Data for a PBEsol-optimized structure of ZnAu.

Calculated values
Space group: No. 59
Calculated density in g/cm3: 13.87

a = 3.302 Å, b = 4.333 Å, c = 4.390 Å
α = 90.00°, β = 90.00°, γ = 90.00°
Atoms (fractional coordinates):
Zn  0.000  0.065  0.500
Zn  0.500  0.935  0.000
Au  0.000  0.409  0.000
Au  0.500  0.591  0.500

---

# 8
## ZnAu2 (SCAN)

Data for a PBEsol-optimized structure of ZnAu2.

Calculated values
Space group: No. 189
Calculated density in g/cm3: 16.03

a = 3.055 Å, b = 7.345 Å, c = 7.345 Å
α = 120.00°, β = 90.00°, γ = 90.00°
Atoms (fractional coordinates):
Au  0.500  0.000  0.629
Au  0.000  0.296  0.000
Au  0.500  0.629  0.000
Au  0.500  0.371  0.371
Au  0.000  0.000  0.296
Au  0.000  0.704  0.704
Zn  0.500  0.000  0.000
Zn  0.000  0.333  0.667
Zn  0.000  0.667  0.333

---

# 9
## ZnAu2 (SCAN)

Data for a PBEsol-optimized structure of ZnAu2.

Calculated values
Space group: No. 227
Calculated density in g/cm3: 15.73

a = 8.186 Å, b = 8.186 Å, c = 8.186 Å
α = 60.00°, β = 60.00°, γ = 60.00°
Atoms (fractional coordinates):
Zn  0.342  0.342  0.342
Zn  0.276  0.908  0.908
Zn  0.974  0.342  0.342
Zn  0.908  0.908  0.908
Zn  0.908  0.908  0.276
Zn  0.908  0.276  0.908
Zn  0.342  0.342  0.974
Zn  0.342  0.974  0.342
Au  0.683  0.317  0.317
Au  0.683  0.317  0.683
Au  0.933  0.933  0.567
Au  0.933  0.567  0.933
Au  0.317  0.683  0.683
Au  0.317  0.317  0.683
Au  0.683  0.683  0.317
Au  0.567  0.933  0.933
Au  0.567  0.567  0.933
Au  0.125  0.125  0.125
Au  0.125  0.625  0.125
Au  0.625  0.125  0.125
Au  0.125  0.125  0.625
Au  0.567  0.933  0.567
Au  0.317  0.683  0.317
Au  0.933  0.567  0.567

---

# 10
## ZnAu5 (SCAN)

Data for a PBEsol-optimized structure of ZnAu5.

Calculated values
Space group: No. 123
Calculated density in g/cm3: 17.76

a = 2.878 Å, b = 2.878 Å, c = 11.857 Å
α = 90.00°, β = 90.00°, γ = 90.00°
Atoms (fractional coordinates):
Au  0.500  0.500  0.173
Au  0.000  0.000  0.650
Au  0.000  0.000  0.000
Au  0.500  0.500  0.827
Au  0.000  0.000  0.350
Zn  0.500  0.500  0.500

---

Going through the records in order, we get DOS at the Fermi energy values of 0.8; 0.5; 0.8; 0.4; 1.5; 2.2; 0.6; 0.7; 0.9; 1.7 states/eV/f.u..
Going through the records in order, we get ΔE_f values of -152; -225; -173; -258; -108; -149; -223; -198; -103; -96 meV/atom.
Going through the records in order, we get VASP energy values of -50.76; -41.56; -50.78; -41.59; -35.88; -48.44; -41.56; -50.81; -50.71; -59.98 eV/atom.